# NaAc2Zn3In4 PBE optimized geometry
data_NaAc2Zn3In4
_chemical_formula_sum 'Na1 Ac2 Zn3 In4'
_space_group_name_H-M_alt 'P 1'
_space_group_IT_number 1
_cell_length_a 4.6714
_cell_length_b 4.6714
_cell_length_c 11.9258
_cell_angle_alpha 90.00
_cell_angle_beta 90.00
_cell_angle_gamma 90.00
loop_
_space_group_symop_operation_xyz
'x,y,z'
loop_
_atom_site_label
_atom_site_type_symbol
_atom_site_fract_x
_atom_site_fract_y
_atom_site_fract_z
Na1 Na 0.0000 0.0000 0.0000
Ac1 Ac 0.0000 0.5000 0.7360
Ac2 Ac 0.5000 0.0000 0.2640
Zn1 Zn 0.0000 0.5000 0.3663
Zn2 Zn 0.5000 0.0000 0.6337
Zn3 Zn 0.5000 0.5000 0.0000
In1 In 0.0000 0.0000 0.5000
In2 In 0.0000 0.5000 0.1432
In3 In 0.5000 0.0000 0.8568
In4 In 0.5000 0.5000 0.5000
# - Raw total energy: -2.70 eV/atom
# - Size of the total moment: 0.0 Bohr magnetons per cell
# - SG: No. 115
# - Formation enthalpy at 0 K: -0.274 eV per atom

# TaGa3Pt PBE optimized geometry
data_TaGa3Pt
_chemical_formula_sum 'Ta1 Ga3 Pt1'
_space_group_name_H-M_alt 'P 1'
_space_group_IT_number 1
_cell_length_a 4.7415
_cell_length_b 4.7415
_cell_length_c 4.7415
_cell_angle_alpha 90.00
_cell_angle_beta 90.00
_cell_angle_gamma 90.00
loop_
_space_group_symop_operation_xyz
'x,y,z'
loop_
_atom_site_label
_atom_site_type_symbol
_atom_site_fract_x
_atom_site_fract_y
_atom_site_fract_z
Ta1 Ta 0.0000 0.0000 0.0000
Ga1 Ga 0.0000 0.5000 0.5000
Ga2 Ga 0.5000 0.0000 0.5000
Ga3 Ga 0.5000 0.5000 0.0000
Pt1 Pt 0.5000 0.5000 0.5000
# - Raw total energy: -4.77 eV/atom
# - Size of the total moment: 1.4 Bohr magnetons per cell
# - Polymorph energy (0 for the lowest one): 0.0 meV per atom
# - SG: No. 221
# - Formation enthalpy at 0 K: 0.622 eV per atom

# TbScIn2 PBE optimized geometry
data_TbScIn2
_chemical_formula_sum 'Tb1 Sc1 In2'
_space_group_name_H-M_alt 'P 1'
_space_group_IT_number 1
_cell_length_a 5.4934
_cell_length_b 5.4934
_cell_length_c 3.4021
_cell_angle_alpha 90.00
_cell_angle_beta 90.00
_cell_angle_gamma 105.87
loop_
_space_group_symop_operation_xyz
'x,y,z'
loop_
_atom_site_label
_atom_site_type_symbol
_atom_site_fract_x
_atom_site_fract_y
_atom_site_fract_z
Tb1 Tb 0.0000 0.0000 0.0000
Sc1 Sc 0.5000 0.5000 0.0000
In1 In 0.0000 0.5000 0.5000
In2 In 0.5000 0.0000 0.5000
# - Raw total energy: -4.54 eV/atom
# - Size of the total moment: 0.5 Bohr magnetons per cell
# - SG: No. 65
# - Formation enthalpy at 0 K: -0.427 eV per atom

# Hf2Zr2Fe PBE optimized geometry
data_Hf2Zr2Fe
_chemical_formula_sum 'Hf4 Zr4 Fe2'
_space_group_name_H-M_alt 'P 1'
_space_group_IT_number 1
_cell_length_a 6.4890
_cell_length_b 6.4890
_cell_length_c 4.9880
_cell_angle_alpha 90.00
_cell_angle_beta 90.00
_cell_angle_gamma 90.00
loop_
_space_group_symop_operation_xyz
'x,y,z'
loop_
_atom_site_label
_atom_site_type_symbol
_atom_site_fract_x
_atom_site_fract_y
_atom_site_fract_z
Hf1 Hf 0.1600 0.3400 0.0000
Hf2 Hf 0.3400 0.8400 0.0000
Hf3 Hf 0.6600 0.1600 0.0000
Hf4 Hf 0.8400 0.6600 0.0000
Zr1 Zr 0.1592 0.6592 0.5000
Zr2 Zr 0.3408 0.1592 0.5000
Zr3 Zr 0.6592 0.8408 0.5000
Zr4 Zr 0.8408 0.3408 0.5000
Fe1 Fe 0.0000 0.0000 0.0000
Fe2 Fe 0.5000 0.5000 0.0000
# - Raw total energy: -8.97 eV/atom
# - Size of the total moment: 0.0 Bohr magnetons per cell
# - Polymorph energy (0 for the lowest one): 68.9 meV per atom
# - SG: No. 127
# - Formation enthalpy at 0 K: 0.123 eV per atom